(1)
Density functional theory data (PBE) for a relaxed Tl2ReMo crystal.

Output
Formation enthalpy at 0 K (eV per atom): 1.19
Offset from the most stable computed form (eV per atom): 0.731
Final energy (eV/atom): -5.8137

POSCAR file:
```
Tl2ReMo
1.0
0.662 0.552 4.644
-0.857 4.179 2.028
-3.716 0.514 2.870
Re Tl Mo
1 2 1
direct
0.500 0.500 0.500
0.250 0.250 0.250
0.750 0.750 0.750
0.000 0.000 0.000
```

(2)
Density functional theory data (PBE) for a relaxed Tl2ReMo crystal.

Output
Formation enthalpy at 0 K (eV per atom): 0.81
Offset from the most stable computed form (eV per atom): 0.352
Final energy (eV/atom): -6.1925

POSCAR file:
```
Tl2ReMo
1.0
-1.657 -5.293 -0.925
1.423 -5.096 -1.904
1.436 -3.272 3.858
Mo Re Tl
1 1 2
direct
0.543 0.543 0.516
0.207 0.207 0.234
0.980 0.980 0.058
0.770 0.770 0.691
```

(3)
Density functional theory data (PBE) for a relaxed Tl4ReMo crystal.

Output
Formation enthalpy at 0 K (eV per atom): 1.67
Final energy (eV/atom): -3.7826

POSCAR file:
```
Tl4ReMo
1.0
-0.171 1.398 5.872
-1.106 5.682 1.720
-5.260 1.392 2.620
Tl Re Mo
4 1 1
direct
0.875 0.375 0.375
0.375 0.375 0.875
0.375 0.875 0.375
0.375 0.375 0.375
0.000 0.000 0.000
0.750 0.750 0.750
```

(4)
Density functional theory data (PBE) for a relaxed Tl3ReMo crystal.

Output
Formation enthalpy at 0 K (eV per atom): 1.79
Offset from the most stable computed form (eV per atom): 0.296
Final energy (eV/atom): -4.2850

POSCAR file:
```
Tl3ReMo
1.0
-2.104 -2.710 -4.109
-0.165 -4.428 3.004
-4.920 1.308 1.656
Re Tl Mo
1 3 1
direct
0.500 0.500 0.500
0.000 0.500 0.000
0.000 0.000 0.500
0.500 0.000 0.000
0.000 0.000 0.000
```

(5)
Density functional theory data (PBE) for a relaxed Tl2ReMo crystal.

Output
Formation enthalpy at 0 K (eV per atom): 1.07
Offset from the most stable computed form (eV per atom): 0.611
Final energy (eV/atom): -5.9333

POSCAR file:
```
Tl2ReMo
1.0
-0.257 2.897 -0.810
-2.487 -1.521 0.788
1.275 2.688 9.206
Mo Re Tl
1 1 2
direct
0.500 0.500 0.250
0.500 0.500 0.750
0.000 0.000 0.998
0.000 0.000 0.502
```

(6)
Density functional theory data (PBE) for a relaxed Tl2ReMo crystal.

Output
Formation enthalpy at 0 K (eV per atom): 1.09
Offset from the most stable computed form (eV per atom): 0.633
Final energy (eV/atom): -5.9115

POSCAR file:
```
Tl2ReMo
1.0
5.146 -0.026 0.000
1.645 4.876 0.000
-3.396 -2.425 3.012
Mo Re Tl
1 1 2
direct
0.500 0.500 0.000
0.750 0.250 0.500
0.000 0.000 0.000
0.250 0.750 0.500
```

(7)
Density functional theory data (PBE) for a relaxed Tl2ReMo crystal.

Output
Formation enthalpy at 0 K (eV per atom): 0.48
Offset from the most stable computed form (eV per atom): 0.018
Final energy (eV/atom): -6.5268

POSCAR file:
```
Tl2ReMo
1.0
-0.752 1.720 -2.496
-2.019 -2.202 -0.909
-6.372 3.933 4.631
Mo Re Tl
1 1 2
direct
0.000 0.000 0.549
0.500 0.500 0.701
0.000 0.000 0.958
0.500 0.500 0.292
```

(8)
Density functional theory data (PBE) for a relaxed Tl3ReMo crystal.

Output
Formation enthalpy at 0 K (eV per atom): 1.49
Offset from the most stable computed form (eV per atom): 0.000
Final energy (eV/atom): -4.5809

POSCAR file:
```
Tl3ReMo
1.0
5.310 0.000 0.000
0.000 5.310 0.000
0.000 0.000 5.310
Re Tl Mo
1 3 1
direct
0.000 0.000 0.000
0.000 0.500 0.000
0.000 0.000 0.500
0.500 0.000 0.000
0.500 0.500 0.500
```

(9)
Density functional theory data (PBE) for a relaxed Tl2ReMo crystal.

Output
Formation enthalpy at 0 K (eV per atom): 1.19
Offset from the most stable computed form (eV per atom): 0.731
Final energy (eV/atom): -5.8134

POSCAR file:
```
Tl2ReMo
1.0
-1.037 2.661 1.732
-3.111 -0.488 -1.114
-1.273 -3.932 5.278
Mo Re Tl
1 1 2
direct
0.500 0.500 0.250
0.500 0.500 0.750
0.000 0.000 0.996
0.000 0.000 0.504
```

(10)
Density functional theory data (PBE) for a relaxed Tl2ReMo crystal.

Output
Formation enthalpy at 0 K (eV per atom): 1.23
Offset from the most stable computed form (eV per atom): 0.768
Final energy (eV/atom): -5.7770

POSCAR file:
```
Tl2ReMo
1.0
5.349 0.185 0.000
1.971 4.976 0.000
-3.660 -2.581 2.931
Mo Re Tl
1 1 2
direct
0.250 0.750 0.500
0.750 0.250 0.500
0.000 0.000 0.000
0.500 0.500 0.000
```

(11)
Density functional theory data (PBE) for a relaxed Tl2ReMo crystal.

Output
Formation enthalpy at 0 K (eV per atom): 0.46
Offset from the most stable computed form (eV per atom): 0.000
Final energy (eV/atom): -6.5447

POSCAR file:
```
Tl2ReMo
1.0
3.125 0.000 0.000
0.000 3.122 -0.111
0.000 1.858 8.634
Mo Re Tl
1 1 2
direct
0.000 0.413 0.547
0.500 0.836 0.704
0.000 0.212 0.955
0.500 0.038 0.294
```

(12)
Density functional theory data (PBE) for a relaxed Tl2ReMo crystal.

Output
Formation enthalpy at 0 K (eV per atom): 1.49
Offset from the most stable computed form (eV per atom): 1.031
Final energy (eV/atom): -5.5137

POSCAR file:
```
Tl2ReMo
1.0
7.746 0.000 0.000
0.000 7.746 0.000
3.873 3.873 2.828
Re Tl Mo
2 4 2
direct
0.000 0.000 0.000
0.750 0.250 0.500
0.631 0.125 0.250
0.119 0.625 0.250
0.375 0.369 0.750
0.875 0.881 0.750
0.500 0.500 0.000
0.250 0.750 0.500
```